DFT (PBEsol) results for a geometry-optimized AuBr structure.

Output
For the formation energy from raw total energies, the calculation gives 3 kJ per mole of atoms. The raw total energy comes out at -34.4 eV per cell. As for the calculated volume: 56 Å³/f.u. The spin magnetization is 0.001 μB per cell.

Cell lengths 14.361, 3.666, 7.457 Å; angles 90.00, 120.88, 90.00 degrees
Space group Cm (No. 8)
Symmetry-distinct sites (fractional):
Au 0.000 0.000 0.000 (multiplicity 2)
Au 0.043 0.500 0.785 (multiplicity 2)
Au 0.382 0.500 0.574 (multiplicity 2)
Br 0.156 0.000 0.756 (multiplicity 2)
Br 0.251 0.000 0.353 (multiplicity 2)
Br 0.474 0.000 0.205 (multiplicity 2)